# Ac4TbTm2

Ac4TbTm2 after structural relaxation (PBE, Alexandria via LeMat-Bulk).

```
14
Lattice="-5.954 -1.657 4.298 0.516 -1.475 -7.364 7.465 -9.089 4.000" Properties=species:S:1:pos:R:3 pbc="T T T"
Ac 0.848 -7.868 4.260
Ac 0.435 -3.230 -3.722
Ac 4.722 -9.024 -1.447
Ac -2.341 -4.573 2.555
Ac 3.906 -7.030 1.945
Ac -1.988 -5.299 -1.286
Ac 1.660 -9.846 0.867
Ac 0.078 -2.488 0.117
Tb 1.720 -6.151 -1.050
Tb -3.632 -1.652 -0.133
Tm 1.219 -4.863 2.507
Tm -3.124 -2.934 -3.688
Tm -1.010 -7.524 1.231
Tm 6.569 -9.363 1.591
```

Properties
E_tot, eV per atom: -4.07
Volume, Å³ per atom: 39.7
Crystal system: orthorhombic
Total magnetic moment, μB per cell: 0.0
ΔE_f, kJ/mol of formula units: 146

---

# SrCaSi2

SrCaSi2 after structural relaxation (PBE, Alexandria via LeMat-Bulk).

```
4
Lattice="3.367 0.000 0.000 0.000 3.367 0.000 0.000 0.000 8.608" Properties=species:S:1:pos:R:3 pbc="T T T"
Ca 1.683 1.683 6.456
Si 0.000 0.000 8.525
Si 0.000 0.000 4.387
Sr 1.683 1.683 2.152
```

Properties
E_tot, eV per atom: -3.81
Volume, Å³ per atom: 24.4
Crystal system: tetragonal
Total magnetic moment, μB per cell: 0.0
Polymorph energy (0 for the lowest one), eV per formula unit: 1.26
ΔE_f (raw), eV per atom: -0.180

---

# BaLi2TlF8

BaLi2TlF8 after structural relaxation (PBE, Alexandria via LeMat-Bulk).

```
12
Lattice="-0.220 -0.434 -4.738 3.337 -3.520 -0.328 -5.744 -5.521 0.764" Properties=species:S:1:pos:R:3 pbc="T T T"
Ba -2.872 -2.760 0.382
Li -3.195 -6.543 -1.901
Li 0.567 -2.931 -2.402
Tl 0.000 0.000 0.000
F 1.256 -3.972 -0.971
F -3.494 -8.338 -2.635
F -0.645 -2.385 -3.758
F -3.884 -5.502 -3.331
F 0.866 -1.137 -1.668
F -1.983 -7.090 -0.545
F -0.705 -5.412 -2.531
F -1.923 -4.062 -1.771
```

Properties
E_tot, eV per atom: -4.44
Volume, Å³ per atom: 15.4
Crystal system: triclinic
Total magnetic moment, μB per cell: 1.2
ΔE_f (raw), eV per atom: -2.518

---

What did the third record say?
# BaLi2TlF8

BaLi2TlF8 after structural relaxation (PBE, Alexandria via LeMat-Bulk).

```
12
Lattice="-0.220 -0.434 -4.738 3.337 -3.520 -0.328 -5.744 -5.521 0.764" Properties=species:S:1:pos:R:3 pbc="T T T"
Ba -2.872 -2.760 0.382
Li -3.195 -6.543 -1.901
Li 0.567 -2.931 -2.402
Tl 0.000 0.000 0.000
F 1.256 -3.972 -0.971
F -3.494 -8.338 -2.635
F -0.645 -2.385 -3.758
F -3.884 -5.502 -3.331
F 0.866 -1.137 -1.668
F -1.983 -7.090 -0.545
F -0.705 -5.412 -2.531
F -1.923 -4.062 -1.771
```

Properties
E_tot, eV per atom: -4.44
Volume, Å³ per atom: 15.4
Crystal system: triclinic
Total magnetic moment, μB per cell: 1.2
ΔE_f (raw), eV per atom: -2.518